This record from Alexandria describes an optimized crystal structure of PaZn2Au. The functional is PBE-GGA.

Output
Total magnetization: 0.027 Bohr magnetons per cell
Mass density: 12061 kg/m3
Distance to the lowest polymorph of the same formula: 17.6 meV/atom

abc: 4.431 5.676 6.644
angles: 90.00 90.00 112.98
Fractional positions:
Zn 0.470 0.939 0.500
Zn 0.879 0.757 0.000
Zn 0.039 0.077 0.691
Zn 0.039 0.077 0.309
Pa 0.754 0.509 0.500
Pa 0.578 0.155 0.000
Au 0.285 0.571 0.793
Au 0.285 0.571 0.207